(1)
A plane-wave DFT calculation with PBE was carried out for an optimized crystal structure of K3AcI6.

Properties
Uncorrected formation energy in eV per atom: -1.510

abc: 8.602 9.287 14.866
angles: 90.00 122.94 90.00
Fractional coordinates of all 20 atoms:
K 0.000 0.000 0.000
K 0.000 0.500 0.500
K 0.201 0.088 0.737
K 0.201 0.412 0.237
K 0.799 0.588 0.763
K 0.799 0.912 0.263
Ac 0.500 0.000 0.500
Ac 0.500 0.500 0.000
I 0.129 0.181 0.436
I 0.129 0.319 0.936
I 0.246 0.707 0.416
I 0.246 0.793 0.916
I 0.410 0.066 0.260
I 0.410 0.434 0.760
I 0.590 0.566 0.240
I 0.590 0.934 0.740
I 0.754 0.207 0.084
I 0.754 0.293 0.584
I 0.871 0.681 0.064
I 0.871 0.819 0.564


(2)
A plane-wave DFT calculation with PBE was carried out for an optimized crystal structure of Er2CuPd4.

Properties
Formation energy in eV per formula unit: -4.84

abc: 5.513 5.490 8.888
angles: 90.00 105.46 90.00
Fractional coordinates of all 14 atoms:
Er 0.135 0.250 0.407
Er 0.302 0.750 0.002
Er 0.698 0.250 0.998
Er 0.865 0.750 0.593
Cu 0.043 0.250 0.807
Cu 0.957 0.750 0.193
Pd 0.226 0.250 0.101
Pd 0.316 0.750 0.438
Pd 0.368 0.501 0.715
Pd 0.368 0.999 0.715
Pd 0.632 0.001 0.285
Pd 0.632 0.499 0.285
Pd 0.684 0.250 0.562
Pd 0.774 0.750 0.899


(3)
A plane-wave DFT calculation with PBE was carried out for an optimized crystal structure of KScIr.

Properties
Formation energy in eV per formula unit: 1.30
Energy relative to the lowest polymorph listed for this composition in meV/atom: 536

abc: 4.754 4.754 3.344
angles: 90.00 90.00 120.00
Fractional coordinates of all 3 atoms:
K 0.000 0.000 0.000
Sc 0.667 0.333 0.408
Ir 0.333 0.667 0.598


(4)
A plane-wave DFT calculation with PBE was carried out for an optimized crystal structure of Cs2Na2Zn.

Properties
Formation energy in eV per formula unit: 0.77
Energy relative to the lowest polymorph listed for this composition in meV/atom: 10

abc: 8.848 8.848 6.783
angles: 90.00 90.00 90.00
Fractional coordinates of all 10 atoms:
Cs 0.186 0.314 0.000
Cs 0.314 0.814 0.000
Cs 0.686 0.186 0.000
Cs 0.814 0.686 0.000
Na 0.146 0.646 0.500
Na 0.354 0.146 0.500
Na 0.646 0.854 0.500
Na 0.854 0.354 0.500
Zn 0.000 0.000 0.500
Zn 0.500 0.500 0.500


(5)
A plane-wave DFT calculation with PBE was carried out for an optimized crystal structure of KPb2Au.

Properties
Formation energy in eV per formula unit: -0.27

abc: 3.832 4.850 6.753
angles: 90.00 104.18 90.00
Fractional coordinates of all 4 atoms:
K 0.000 0.000 0.000
Pb 0.284 0.000 0.540
Pb 0.652 0.500 0.315
Au 0.430 0.500 0.824


(6)
A plane-wave DFT calculation with PBE was carried out for an optimized crystal structure of Sr2Ga4NiPt3.

Properties
Formation energy in eV per formula unit: -7.70

abc: 4.407 4.407 10.261
angles: 90.00 90.00 90.00
Fractional coordinates of all 10 atoms:
Sr 0.000 0.500 0.243
Sr 0.500 0.000 0.757
Ga 0.000 0.000 0.500
Ga 0.000 0.500 0.882
Ga 0.500 0.000 0.118
Ga 0.500 0.500 0.500
Ni 0.500 0.500 0.000
Pt 0.000 0.000 0.000
Pt 0.000 0.500 0.632
Pt 0.500 0.000 0.368


(7)
A plane-wave DFT calculation with PBE was carried out for an optimized crystal structure of TaCd2Si.

Properties
Uncorrected formation energy in eV per atom: 0.210

abc: 5.275 5.275 5.440
angles: 112.91 112.91 32.80
Fractional coordinates of all 4 atoms:
Ta 0.000 0.000 0.000
Cd 0.519 0.519 0.536
Cd 0.756 0.756 0.414
Si 0.266 0.266 0.963


(8)
A plane-wave DFT calculation with PBE was carried out for an optimized crystal structure of Gd2DyPd.

Properties
Formation energy in eV per formula unit: -1.51
Energy relative to the lowest polymorph listed for this composition in meV/atom: 0

abc: 3.612 3.612 8.404
angles: 90.00 90.00 90.00
Fractional coordinates of all 4 atoms:
Gd 0.000 0.000 0.201
Gd 0.000 0.000 0.799
Dy 0.500 0.500 0.500
Pd 0.500 0.500 0.000


(9)
A plane-wave DFT calculation with PBE was carried out for an optimized crystal structure of K2Cd3RhF12.

Properties
Uncorrected formation energy in eV per atom: -2.128

abc: 8.086 8.086 8.086
angles: 57.01 57.01 57.01
Fractional coordinates of all 18 atoms:
K 0.093 0.093 0.093
K 0.907 0.907 0.907
Cd 0.000 0.500 0.500
Cd 0.500 0.000 0.500
Cd 0.500 0.500 0.000
Rh 0.500 0.500 0.500
F 0.154 0.154 0.589
F 0.154 0.589 0.154
F 0.205 0.566 0.566
F 0.411 0.846 0.846
F 0.434 0.434 0.795
F 0.434 0.795 0.434
F 0.566 0.205 0.566
F 0.566 0.566 0.205
F 0.589 0.154 0.154
F 0.795 0.434 0.434
F 0.846 0.411 0.846
F 0.846 0.846 0.411


(10)
A plane-wave DFT calculation with PBE was carried out for an optimized crystal structure of Tl2NiSn4.

Properties
Formation energy in eV per formula unit: 0.65

abc: 9.419 9.419 9.419
angles: 150.11 150.11 42.78
Fractional coordinates of all 7 atoms:
Tl 0.166 0.166 0.000
Tl 0.834 0.834 0.000
Ni 0.500 0.500 0.000
Sn 0.000 0.500 0.500
Sn 0.351 0.351 0.000
Sn 0.500 0.000 0.500
Sn 0.649 0.649 0.000


(11)
A plane-wave DFT calculation with PBE was carried out for an optimized crystal structure of NdScAlAg.

Properties
Formation energy in eV per formula unit: -1.14

abc: 5.103 5.103 5.103
angles: 60.00 60.00 60.00
Fractional coordinates of all 4 atoms:
Nd 0.000 0.000 0.000
Sc 0.500 0.500 0.500
Al 0.750 0.750 0.750
Ag 0.250 0.250 0.250


(12)
A plane-wave DFT calculation with PBE was carried out for an optimized crystal structure of Tl2BSe2.

Properties
Energy relative to the lowest polymorph listed for this composition in meV/atom: 0
Uncorrected formation energy in eV per atom: 0.423

abc: 6.286 6.286 6.089
angles: 90.00 90.00 90.00
Fractional coordinates of all 10 atoms:
Tl 0.190 0.310 0.000
Tl 0.310 0.810 0.000
Tl 0.690 0.190 0.000
Tl 0.810 0.690 0.000
B 0.000 0.000 0.500
B 0.500 0.500 0.500
Se 0.192 0.692 0.500
Se 0.308 0.192 0.500
Se 0.692 0.808 0.500
Se 0.808 0.308 0.500


(13)
A plane-wave DFT calculation with PBE was carried out for an optimized crystal structure of Dy2ErCu3.

Properties
Formation energy in eV per formula unit: -1.59

abc: 3.449 3.449 10.401
angles: 90.00 90.00 90.00
Fractional coordinates of all 6 atoms:
Dy 0.000 0.000 0.168
Dy 0.000 0.000 0.832
Er 0.000 0.000 0.500
Cu 0.500 0.500 0.000
Cu 0.500 0.500 0.336
Cu 0.500 0.500 0.664


(14)
A plane-wave DFT calculation with PBE was carried out for an optimized crystal structure of NaAl2F6.

Properties
Energy relative to the lowest polymorph listed for this composition in meV/atom: 0
Uncorrected formation energy in eV per atom: -2.986

abc: 5.149 5.149 5.316
angles: 90.00 90.00 120.00
Fractional coordinates of all 9 atoms:
Na 0.000 0.000 0.000
Al 0.333 0.667 0.500
Al 0.667 0.333 0.500
F 0.000 0.377 0.692
F 0.000 0.623 0.308
F 0.377 0.000 0.692
F 0.377 0.377 0.308
F 0.623 0.000 0.308
F 0.623 0.623 0.692


(15)
A plane-wave DFT calculation with PBE was carried out for an optimized crystal structure of MnTlTe.

Properties
Energy relative to the lowest polymorph listed for this composition in meV/atom: 94
Uncorrected formation energy in eV per atom: 0.151

abc: 6.644 6.644 6.644
angles: 148.43 148.43 45.25
Fractional coordinates of all 3 atoms:
Mn 0.000 0.000 0.000
Tl 0.323 0.323 0.000
Te 0.590 0.590 0.000


(16)
A plane-wave DFT calculation with PBE was carried out for an optimized crystal structure of Ce3PrHo2Te6.

Properties
Uncorrected formation energy in eV per atom: -1.349

abc: 7.665 7.665 7.765
angles: 99.46 99.46 120.04
Fractional coordinates of all 12 atoms:
Ce 0.000 0.000 0.000
Ce 0.340 0.660 0.000
Ce 0.660 0.340 0.000
Pr 0.500 0.500 0.500
Ho 0.168 0.832 0.500
Ho 0.832 0.168 0.500
Te 0.075 0.418 0.255
Te 0.235 0.235 0.737
Te 0.418 0.075 0.255
Te 0.582 0.925 0.745
Te 0.765 0.765 0.263
Te 0.925 0.582 0.745


(17)
A plane-wave DFT calculation with PBE was carried out for an optimized crystal structure of RbTl2NiAg.

Properties
Formation energy in eV per formula unit: 0.45

abc: 5.116 5.116 5.395
angles: 90.00 90.00 90.00
Fractional coordinates of all 5 atoms:
Rb 0.000 0.000 0.000
Tl 0.000 0.500 0.500
Tl 0.500 0.000 0.500
Ni 0.500 0.500 0.500
Ag 0.500 0.500 0.000


(18)
A plane-wave DFT calculation with PBE was carried out for an optimized crystal structure of LiPmPr2Te4.

Properties
Uncorrected formation energy in eV per atom: -1.382

abc: 7.741 4.456 7.745
angles: 90.00 109.31 90.00
Fractional coordinates of all 8 atoms:
Li 0.000 0.000 0.000
Pm 0.500 0.500 0.000
Pr 0.000 0.500 0.500
Pr 0.500 0.000 0.500
Te 0.238 0.500 0.235
Te 0.245 0.000 0.761
Te 0.755 0.000 0.239
Te 0.762 0.500 0.765


(19)
A plane-wave DFT calculation with PBE was carried out for an optimized crystal structure of BaNa2In2.

Properties
Formation energy in eV per formula unit: -1.02
Energy relative to the lowest polymorph listed for this composition in meV/atom: 0

abc: 15.576 15.576 15.576
angles: 164.01 160.32 25.46
Fractional coordinates of all 10 atoms:
Ba 0.326 0.076 0.250
Ba 0.674 0.924 0.750
Na 0.047 0.797 0.250
Na 0.442 0.692 0.750
Na 0.558 0.308 0.250
Na 0.953 0.203 0.750
In 0.125 0.375 0.750
In 0.224 0.474 0.750
In 0.776 0.526 0.250
In 0.875 0.625 0.250


(20)
A plane-wave DFT calculation with PBE was carried out for an optimized crystal structure of MgPAu2.

Properties
Formation energy in eV per formula unit: -0.48
Energy relative to the lowest polymorph listed for this composition in meV/atom: 40

abc: 9.552 9.552 9.552
angles: 155.51 155.51 34.90
Fractional coordinates of all 8 atoms:
Mg 0.000 0.000 0.000
Mg 0.750 0.250 0.500
P 0.250 0.750 0.500
P 0.500 0.500 0.000
Au 0.134 0.625 0.009
Au 0.375 0.384 0.509
Au 0.616 0.125 0.991
Au 0.875 0.866 0.491


(21)
A plane-wave DFT calculation with PBE was carried out for an optimized crystal structure of Fe2NiRhN.

Properties
Energy relative to the lowest polymorph listed for this composition in meV/atom: 0
Uncorrected formation energy in eV per atom: 0.051

abc: 3.790 3.790 4.004
angles: 90.00 90.00 90.00
Fractional coordinates of all 5 atoms:
Fe 0.000 0.500 0.000
Fe 0.500 0.000 0.000
Ni 0.000 0.000 0.500
Rh 0.500 0.500 0.500
N 0.500 0.500 0.000


(22)
A plane-wave DFT calculation with PBE was carried out for an optimized crystal structure of RbCr2InCl8.

Properties
Uncorrected formation energy in eV per atom: -1.130

abc: 6.257 7.282 7.360
angles: 89.54 89.45 87.97
Fractional coordinates of all 12 atoms:
Rb 0.000 0.000 0.000
Cr 0.500 0.500 0.252
Cr 0.500 0.500 0.748
In 0.000 0.000 0.500
Cl 0.277 0.402 0.503
Cl 0.280 0.405 0.003
Cl 0.325 0.786 0.744
Cl 0.325 0.787 0.254
Cl 0.675 0.213 0.746
Cl 0.675 0.214 0.256
Cl 0.720 0.595 0.997
Cl 0.723 0.598 0.497


(23)
A plane-wave DFT calculation with PBE was carried out for an optimized crystal structure of Li5NdHg6.

Properties
Formation energy in eV per formula unit: -4.44

abc: 7.662 7.662 7.030
angles: 90.00 90.00 142.81
Fractional coordinates of all 12 atoms:
Li 0.000 0.000 0.000
Li 0.326 0.674 0.500
Li 0.341 0.659 0.000
Li 0.659 0.341 0.000
Li 0.674 0.326 0.500
Nd 0.000 0.000 0.500
Hg 0.174 0.826 0.229
Hg 0.174 0.826 0.771
Hg 0.500 0.500 0.222
Hg 0.500 0.500 0.778
Hg 0.826 0.174 0.229
Hg 0.826 0.174 0.771